First-principles (GGA+U) data for an optimized crystal structure of Ba4CoO5, as listed in Alexandria.

Output
Total energy, eV/atom: -5.74
SG: No. 79
Energy above the lowest structure with this stoichiometry, eV per atom: 0.107
Size of the total moment, μB per formula unit: 3.0

Cell lengths 5.737, 6.568, 6.568 Å; angles 79.01, 64.11, 64.11 degrees
Positions (direct):
O1 0.397 0.000 0.000
Co1 0.065 0.000 0.000
O2 0.715 0.188 0.362
Ba1 0.819 0.814 0.595
Ba2 0.632 0.595 0.186
O3 0.902 0.362 0.812
Ba3 0.227 0.186 0.405
Ba4 0.413 0.405 0.814
O4 0.264 0.812 0.638
O5 0.076 0.638 0.188